(1)
Entry from Alexandria via LeMat-Bulk: a relaxed structure of Ce4DyHg5 (GGA-PBE).

```
10
Lattice="3.723 0.000 0.000 0.000 3.723 0.000 0.000 0.000 19.854" Properties=species:S:1:pos:R:3 pbc="T T T"
Ce 0.000 0.000 2.005
Ce 0.000 0.000 6.048
Ce 0.000 0.000 13.805
Ce 0.000 0.000 17.848
Dy 0.000 0.000 9.927
Hg 1.862 1.862 0.000
Hg 1.862 1.862 4.016
Hg 1.862 1.862 8.130
Hg 1.862 1.862 11.724
Hg 1.862 1.862 15.838
```

VASP energy, eV per atom: -3.308
Total magnetization, μB/atom: 0.020
Symmetry: No. 123

(2)
Entry from Alexandria via LeMat-Bulk: a relaxed structure of CeNiAu (GGA-PBE).

```
3
Lattice="0.000 3.196 3.196 3.196 0.000 3.196 3.196 3.196 0.000" Properties=species:S:1:pos:R:3 pbc="T T T"
Ce 0.000 0.000 0.000
Ni 4.794 4.794 4.794
Au 3.196 3.196 3.196
```

VASP energy, eV per atom: -5.394
Total magnetization, μB/atom: 0.281
Symmetry: No. 216

(3)
Entry from Alexandria via LeMat-Bulk: a relaxed structure of TbPdN (GGA-PBE).

```
3
Lattice="4.712 0.000 0.000 -2.356 4.081 0.000 0.000 0.000 3.854" Properties=species:S:1:pos:R:3 pbc="T T T"
Tb 0.000 0.000 0.000
Pd 0.000 2.721 0.000
N 0.000 2.721 1.927
```

VASP energy, eV per atom: -5.597
Formation energy without anion corrections, meV/atom: 452
Total magnetization, μB/atom: 0.165
Symmetry: No. 187

(4)
Entry from Alexandria via LeMat-Bulk: a relaxed structure of CaPm6Sn4 (GGA-PBE).

```
11
Lattice="-4.047 4.047 5.983 4.047 -4.047 5.983 4.047 4.047 -5.983" Properties=species:S:1:pos:R:3 pbc="T T T"
Ca 0.000 0.000 0.000
Pm 4.047 0.000 0.000
Pm 1.281 -1.281 3.986
Pm -1.281 1.281 3.986
Pm 0.000 4.047 0.000
Pm 2.767 2.767 1.997
Pm 1.281 1.281 7.980
Sn 2.239 2.239 -1.182
Sn 1.808 -1.808 7.165
Sn 1.808 1.808 4.801
Sn -1.808 1.808 7.165
```

VASP energy, eV per atom: -4.608
Total magnetization, μB/atom: 0.000
Symmetry: No. 121

(5)
Entry from Alexandria via LeMat-Bulk: a relaxed structure of Sb2Te3 (GGA-PBE).

```
10
Lattice="7.759 -2.147 0.000 7.759 2.147 0.000 -1.167 0.000 10.302" Properties=species:S:1:pos:R:3 pbc="T T T"
Sb -0.060 0.000 2.946
Sb 2.854 0.000 7.020
Sb 11.498 0.000 3.282
Sb 14.412 0.000 7.356
Te 2.448 0.000 1.527
Te 5.077 0.000 5.210
Te 6.428 0.000 1.409
Te 7.923 0.000 8.894
Te 9.275 0.000 5.093
Te 11.904 0.000 8.775
```

VASP energy, eV per atom: -3.612
Formation energy without anion corrections, meV/atom: -78
Total magnetization, μB/atom: 0.000
Symmetry: No. 12

(6)
Entry from Alexandria via LeMat-Bulk: a relaxed structure of BaTl2InTe4 (GGA-PBE).

```
16
Lattice="-4.568 4.866 6.652 4.568 -4.866 6.652 4.568 4.866 -6.652" Properties=species:S:1:pos:R:3 pbc="T T T"
Ba 0.000 0.000 0.000
Ba 0.000 4.866 0.000
Tl 4.568 0.000 0.000
Tl -2.284 2.433 3.326
Tl 0.000 0.000 6.652
Tl 2.284 2.433 3.326
In 2.284 2.433 -3.326
In 2.284 -2.433 3.326
Te 4.568 -0.329 3.233
Te 4.568 4.537 -3.233
Te 2.395 2.433 -0.229
Te 6.740 2.433 -0.229
Te -2.173 2.433 6.882
Te 2.173 2.433 6.882
Te 0.000 0.329 9.885
Te 0.000 5.195 3.419
```

VASP energy, eV per atom: -3.293
Formation energy without anion corrections, meV/atom: -548
Total magnetization, μB/atom: 0.000
Symmetry: No. 74

(7)
Entry from Alexandria via LeMat-Bulk: a relaxed structure of Be3HgRu (GGA-PBE).

```
5
Lattice="4.230 0.000 0.000 0.000 4.230 0.000 0.000 0.000 4.230" Properties=species:S:1:pos:R:3 pbc="T T T"
Be 0.000 0.000 2.115
Be 0.000 2.115 0.000
Be 2.115 0.000 0.000
Hg 2.115 2.115 2.115
Ru 0.000 0.000 0.000
```

VASP energy, eV per atom: -3.528
Excess energy over the best structure of this formula in the dataset, meV/atom: 0
Total magnetization, μB/atom: 0.000
Symmetry: No. 221

(8)
Entry from Alexandria via LeMat-Bulk: a relaxed structure of CeCuP2 (GGA-PBE).

```
4
Lattice="2.185 1.262 6.789 -2.185 1.262 6.789 0.000 -2.523 6.789" Properties=species:S:1:pos:R:3 pbc="T T T"
Ce 0.000 0.000 0.000
Cu 0.000 0.000 10.183
P 0.000 0.000 8.027
P 0.000 0.000 12.340
```

VASP energy, eV per atom: -5.478
Total magnetization, μB/atom: 0.000
Symmetry: No. 166